# 1
A plane-wave DFT calculation with PBEsol was carried out for crystalline CsSb2F7 at its relaxed geometry.

```
CsSb2F7
1.0
-2.814 4.683 0.423
-2.388 -0.884 -6.096
-6.293 -4.568 6.708
F Sb Cs
14 4 2
direct
0.657 0.683 0.152
0.250 0.067 0.000
0.343 0.317 0.848
0.004 0.159 0.643
0.220 0.886 0.736
0.996 0.841 0.357
0.496 0.516 0.357
0.780 0.114 0.264
0.280 0.150 0.264
0.750 0.933 0.000
0.157 0.469 0.152
0.843 0.531 0.848
0.504 0.484 0.643
0.720 0.850 0.736
0.035 0.151 0.836
0.535 0.685 0.836
0.465 0.315 0.164
0.965 0.849 0.164
0.500 0.000 0.500
0.000 0.500 0.500
```

- Formation energy from raw total energies: -2.513 eV/atom
- Space group: C2/c

# 2
A plane-wave DFT calculation with PBEsol was carried out for crystalline LiSe at its relaxed geometry.

```
LiSe
1.0
-0.781 0.805 -3.001
-2.057 -1.676 1.795
-1.563 3.303 1.294
Se Li
1 1
direct
0.333 0.667 0.500
0.000 0.000 0.000
```

- Distance to the lowest polymorph of the same formula: 0.0034 eV/atom
- Formation energy from raw total energies: -0.703 eV/atom
- Space group: P-6m2

# 3
A plane-wave DFT calculation with PBEsol was carried out for crystalline Li3BO3 at its relaxed geometry.

```
Li3BO3
1.0
-0.519 2.809 1.510
-7.756 -2.320 -1.666
-0.411 -4.397 8.038
B Li O
4 12 12
direct
0.803 0.746 0.186
0.197 0.754 0.686
0.803 0.246 0.314
0.197 0.254 0.814
0.908 0.868 0.926
0.724 0.887 0.477
0.092 0.132 0.074
0.092 0.632 0.426
0.724 0.387 0.023
0.276 0.613 0.977
0.507 0.981 0.234
0.908 0.368 0.574
0.507 0.481 0.266
0.276 0.113 0.523
0.493 0.519 0.734
0.493 0.019 0.766
0.026 0.098 0.863
0.366 0.278 0.674
0.974 0.402 0.363
0.227 0.889 0.593
0.634 0.722 0.326
0.773 0.611 0.093
0.366 0.778 0.826
0.026 0.598 0.637
0.974 0.902 0.137
0.773 0.111 0.407
0.227 0.389 0.907
0.634 0.222 0.174
```

- Formation energy from raw total energies: -2.274 eV/atom
- Space group: P2_1/c

# 4
A plane-wave DFT calculation with PBEsol was carried out for crystalline SrCa2Mg at its relaxed geometry.

```
SrCa2Mg
1.0
-3.378 0.509 -1.518
2.898 -2.686 -5.397
-1.439 -4.477 5.325
Sr Mg Ca
1 1 2
direct
0.500 0.000 0.000
0.000 0.500 0.000
0.000 0.000 0.500
0.500 0.500 0.500
```

- Formation enthalpy at 0 K: 0.2 eV/f.u.
- Space group: C2/m

# 5
A plane-wave DFT calculation with PBEsol was carried out for crystalline B3TeF at its relaxed geometry.

```
B3TeF
1.0
4.451 0.000 0.000
0.000 4.451 0.000
0.000 0.000 4.451
B F Te
3 1 1
direct
0.500 0.000 0.000
0.000 0.000 0.500
0.000 0.500 0.000
0.500 0.500 0.500
0.000 0.000 0.000
```

- Formation energy from raw total energies: 2.139 eV/atom
- Space group: Pm-3m

# 6
A plane-wave DFT calculation with PBEsol was carried out for crystalline ScAgOs2 at its relaxed geometry.

```
ScAgOs2
1.0
-0.585 2.694 0.180
-3.446 -0.543 -3.078
-3.015 -1.264 3.598
Os Sc Ag
2 1 1
direct
0.219 0.000 0.247
0.781 0.000 0.753
0.500 0.500 0.000
0.000 0.500 0.500
```

- Formation enthalpy at 0 K: 1.1 eV/f.u.
- Distance to the lowest polymorph of the same formula: 0.0975 eV/atom
- Space group: P2/m

# 7
A plane-wave DFT calculation with PBEsol was carried out for crystalline SrCa2Al at its relaxed geometry.

```
SrCa2Al
1.0
-2.282 -2.245 2.080
2.313 -2.964 -0.661
5.042 2.176 7.879
Ca Sr Al
2 1 1
direct
0.500 0.500 0.234
0.000 0.000 0.943
0.000 0.000 0.556
0.500 0.500 0.767
```

- Formation enthalpy at 0 K: -0.3 eV/f.u.
- Space group: P4mm

# 8
A plane-wave DFT calculation with PBEsol was carried out for crystalline Cr2Sb2S at its relaxed geometry.

```
Cr2Sb2S
1.0
-0.997 0.188 -4.134
-3.338 -2.550 0.689
-0.872 5.410 2.648
Cr Sb S
2 2 1
direct
0.413 0.413 0.826
0.587 0.587 0.174
0.750 0.250 0.500
0.250 0.750 0.500
0.000 0.000 0.000
```

- Formation energy from raw total energies: 0.713 eV/atom
- Space group: I4/mmm

| no. | density of states at the Fermi level (states/eV/cell) |
| --- | --- |
| 1 | 0.00 |
| 2 | 0.95 |
| 3 | 0.00 |
| 4 | 3.46 |
| 5 | 2.87 |
| 6 | 3.51 |
| 7 | 3.40 |
| 8 | 4.51 |